--- A ---
GGA-PBE SiHgSb, relaxed; SG = P3m1 (156)
1.0
3.989 0.000 0.000
-1.994 3.454 0.000
0.000 0.000 5.583
Si Hg Sb
1 1 1
direct
0.000 0.000 0.000
0.667 0.333 0.330
0.333 0.667 0.760

--- B ---
GGA-PBE SiHgSb, relaxed; SG = F-43m (216)
1.0
0.000 3.386 3.386
3.386 0.000 3.386
3.386 3.386 0.000
Si Hg Sb
1 1 1
direct
0.000 0.000 0.000
0.250 0.250 0.250
0.750 0.750 0.750

--- C ---
GGA-PBE SiHgSb, relaxed; SG = I4mm (107)
1.0
-1.776 1.776 5.706
1.776 -1.776 5.706
1.776 1.776 -5.706
Si Hg Sb
1 1 1
direct
0.000 0.000 0.000
0.677 0.677 0.000
0.385 0.385 0.000

Energies, relative to the best one, in meV/atom: A 0; B 188; C 209.

--- A ---
GGA-PBE SiHg3Sb, relaxed; SG = Pm-3m (221)
1.0
5.171 0.000 0.000
0.000 5.171 0.000
0.000 0.000 5.171
Si Hg Sb
1 3 1
direct
0.000 0.000 0.000
0.000 0.000 0.500
0.000 0.500 0.000
0.500 0.000 0.000
0.500 0.500 0.500

--- B ---
GGA-PBE SiHg3Sb, relaxed; SG = Pm-3m (221)
1.0
5.637 0.000 0.000
0.000 5.637 0.000
0.000 0.000 5.637
Si Hg Sb
1 3 1
direct
0.000 0.000 0.000
0.000 0.500 0.500
0.500 0.000 0.500
0.500 0.500 0.000
0.500 0.500 0.500

Energies, relative to the best one, in meV/atom: A 0; B 349.

--- A ---
GGA-PBE Sm2HgSb, relaxed; SG = P4/mmm (123)
1.0
3.984 0.000 0.000
0.000 3.984 0.000
0.000 0.000 7.008
Sm Hg Sb
2 1 1
direct
0.000 0.000 0.244
0.000 0.000 0.756
0.500 0.500 0.500
0.500 0.500 0.000

--- B ---
GGA-PBE Sm2HgSb, relaxed; SG = Cmcm (63)
1.0
2.119 -12.289 0.000
2.119 12.289 0.000
0.000 0.000 4.651
Sm Hg Sb
4 2 2
direct
0.065 0.935 0.750
0.316 0.684 0.750
0.684 0.316 0.250
0.935 0.065 0.250
0.457 0.543 0.750
0.543 0.457 0.250
0.189 0.811 0.750
0.811 0.189 0.250

Energies, relative to the best one, in meV/atom: A 51; B 0.

--- A ---
GGA-PBE Sm2HgSb, relaxed; SG = R-3m (166)
1.0
2.171 1.254 7.652
-2.171 1.254 7.652
0.000 -2.507 7.652
Sm Hg Sb
2 1 1
direct
0.246 0.246 0.246
0.754 0.754 0.754
0.000 0.000 0.000
0.500 0.500 0.500

--- B ---
GGA-PBE Sm2HgSb, relaxed; SG = R3m (160)
1.0
2.137 1.234 7.954
-2.137 1.234 7.954
0.000 -2.468 7.954
Sm Hg Sb
2 1 1
direct
0.000 0.000 0.000
0.177 0.177 0.177
0.756 0.756 0.756
0.588 0.588 0.588

--- C ---
GGA-PBE Sm2HgSb, relaxed; SG = Fm-3m (225)
1.0
0.000 3.809 3.809
3.809 0.000 3.809
3.809 3.809 0.000
Sm Hg Sb
2 1 1
direct
0.250 0.250 0.250
0.750 0.750 0.750
0.000 0.000 0.000
0.500 0.500 0.500

Energies, relative to the best one, in meV/atom: A 0; B 52; C 59.

--- A ---
GGA-PBE Sm5HgSb4, relaxed; SG = I4/m (87)
1.0
-4.995 4.995 3.152
4.995 -4.995 3.152
4.995 4.995 -3.152
Sm Hg Sb
5 1 4
direct
0.000 0.000 0.000
0.191 0.605 0.796
0.395 0.191 0.586
0.605 0.809 0.414
0.809 0.395 0.204
0.500 0.500 0.000
0.101 0.299 0.400
0.299 0.899 0.197
0.701 0.101 0.803
0.899 0.701 0.600

--- B ---
GGA-PBE Sm5HgSb4, relaxed; SG = I4/mmm (139)
1.0
-2.231 2.231 15.789
2.231 -2.231 15.789
2.231 2.231 -15.789
Sm Hg Sb
5 1 4
direct
0.000 0.000 0.000
0.200 0.200 0.000
0.397 0.397 0.000
0.603 0.603 0.000
0.800 0.800 0.000
0.500 0.500 0.000
0.099 0.099 0.000
0.300 0.300 0.000
0.700 0.700 0.000
0.901 0.901 0.000

Energies, relative to the best one, in meV/atom: A 8; B 0.

--- A ---
GGA-PBE SnHgSb, relaxed; SG = P2_1/m (11)
1.0
6.162 0.000 0.000
0.000 4.449 0.000
-0.067 0.000 7.138
Sn Hg Sb
2 2 2
direct
0.246 0.250 0.391
0.754 0.750 0.609
0.254 0.250 0.975
0.746 0.750 0.025
0.253 0.750 0.664
0.747 0.250 0.336

--- B ---
GGA-PBE SnHgSb, relaxed; SG = P3m1 (156)
1.0
4.379 0.000 0.000
-2.189 3.792 0.000
0.000 0.000 5.332
Sn Hg Sb
1 1 1
direct
0.000 0.000 0.000
0.667 0.333 0.354
0.333 0.667 0.709

--- C ---
GGA-PBE SnHgSb, relaxed; SG = I4mm (107)
1.0
-1.556 1.556 8.930
1.556 -1.556 8.930
1.556 1.556 -8.930
Sn Hg Sb
1 1 1
direct
0.000 0.000 0.000
0.344 0.344 0.000
0.171 0.171 0.000

Energies, relative to the best one, in meV/atom: A 22; B 0; C 42.

--- A ---
GGA-PBE SnHg2Sb2, relaxed; SG = P4/mbm (127)
1.0
8.881 0.000 0.000
0.000 8.881 0.000
0.000 0.000 3.506
Sn Hg Sb
2 4 4
direct
0.000 0.000 0.000
0.500 0.500 0.000
0.120 0.380 0.500
0.380 0.880 0.500
0.620 0.120 0.500
0.880 0.620 0.500
0.186 0.686 0.000
0.314 0.186 0.000
0.686 0.814 0.000
0.814 0.314 0.000

--- B ---
GGA-PBE SnHg2Sb2, relaxed; SG = I4/mmm (139)
1.0
-2.099 2.099 8.587
2.099 -2.099 8.587
2.099 2.099 -8.587
Sn Hg Sb
1 2 2
direct
0.000 0.000 0.000
0.250 0.750 0.500
0.750 0.250 0.500
0.417 0.417 0.000
0.583 0.583 0.000

Energies, relative to the best one, in meV/atom: A 33; B 0.

--- A ---
GGA-PBE SnHg2Sb2, relaxed; SG = I4/mmm (139)
1.0
-2.110 2.110 8.280
2.110 -2.110 8.280
2.110 2.110 -8.280
Sn Hg Sb
1 2 2
direct
0.000 0.000 0.000
0.407 0.407 0.000
0.593 0.593 0.000
0.250 0.750 0.500
0.750 0.250 0.500

--- B ---
GGA-PBE SnHg2Sb2, relaxed; SG = P4/mbm (127)
1.0
8.826 0.000 0.000
0.000 8.826 0.000
0.000 0.000 3.481
Sn Hg Sb
2 4 4
direct
0.000 0.000 0.000
0.500 0.500 0.000
0.134 0.366 0.000
0.366 0.866 0.000
0.634 0.134 0.000
0.866 0.634 0.000
0.165 0.665 0.500
0.335 0.165 0.500
0.665 0.835 0.500
0.835 0.335 0.500

Energies, relative to the best one, in meV/atom: A 27; B 0.